{"formula": "K3Tl3Pd2", "functional": "PBE", "state": "optimized geometry", "ef_ev_per_atom": -0.151, "e_tot_ev_per_atom": -2.75, "dos_ef_per_ev_cell": 10.9, "lattice_angstrom": [[9.105, 0.000, 0.000], [0.000, 16.765, 0.000], [0.000, 0.000, 6.632]], "species": ["K", "K", "K", "K", "K", "K", "K", "K", "K", "K", "K", "K", "Tl", "Tl", "Tl", "Tl", "Tl", "Tl", "Tl", "Tl", "Tl", "Tl", "Tl", "Tl", "Pd", "Pd", "Pd", "Pd", "Pd", "Pd", "Pd", "Pd"], "frac_coords": [[0.038, 0.110, 0.106], [0.038, 0.390, 0.106], [0.205, 0.250, 0.597], [0.295, 0.750, 0.097], [0.462, 0.610, 0.606], [0.462, 0.890, 0.606], [0.538, 0.110, 0.394], [0.538, 0.390, 0.394], [0.705, 0.250, 0.903], [0.795, 0.750, 0.403], [0.962, 0.610, 0.894], [0.962, 0.890, 0.894], [0.151, 0.750, 0.566], [0.173, 0.040, 0.613], [0.173, 0.460, 0.613], [0.327, 0.540, 0.113], [0.327, 0.960, 0.113], [0.349, 0.250, 0.066], [0.651, 0.750, 0.934], [0.673, 0.040, 0.887], [0.673, 0.460, 0.887], [0.827, 0.540, 0.387], [0.827, 0.960, 0.387], [0.849, 0.250, 0.434], [0.118, 0.599, 0.391], [0.118, 0.901, 0.391], [0.382, 0.099, 0.891], [0.382, 0.401, 0.891], [0.618, 0.599, 0.109], [0.618, 0.901, 0.109], [0.882, 0.099, 0.609], [0.882, 0.401, 0.609]]}